The following is a DFT calculation (PBE) of an optimized crystal structure of Tl2SiRh.

a b c (Å): 8.612 8.612 8.612
angles (deg): 22.86 22.86 22.86
Fractional coordinates of all 4 atoms:
Tl: 0.246 0.246 0.246
Tl: 0.754 0.754 0.754
Si: 0.000 0.000 0.000
Rh: 0.500 0.500 0.500

Calculated values
Uncorrected formation energy, meV per atom: 452
Magnetization, μB per formula unit: 0.0
Space-group type: No. 166